TaTcOs4 | GGA-PBE | relaxed

Computed properties:
DFT formation energy: 0.285 eV/atom
Electronic total energy: -0.4007 Ha/atom
Magnetic moment: 0.0 Bohr magnetons per cell
DOS at the Fermi energy: 8.0 states/eV/f.u.
Space group: F-43m (216)

abc: 5.1137 5.1137 5.1137
angles: 60.00 60.00 60.00
Element x y z (fractional)
Os: 0.8767 0.3744 0.3744
Os: 0.3744 0.3744 0.8767
Os: 0.3744 0.8767 0.3744
Ta: 0.7500 0.7500 0.7500
Os: 0.3744 0.3744 0.3744
Tc: 0.0000 0.0000 0.0000

---

Ta4TcOs | GGA-PBE | relaxed

Computed properties:
DFT formation energy: 0.191 eV/atom
Electronic total energy: -0.4157 Ha/atom
Magnetic moment: 0.0 Bohr magnetons per cell
DOS at the Fermi energy: 3.9 states/eV/f.u.
Space group: P4/mmm (123)
Energy above the most stable polymorph in this dataset: 0.0 meV per atom

abc: 4.3645 4.3649 6.2436
angles: 89.96 89.98 90.00
Element x y z (fractional)
Os: 0.5013 0.4973 0.9981
Ta: 0.5013 0.9976 0.7470
Ta: 0.5013 0.9970 0.2493
Ta: 0.0011 0.4972 0.2493
Ta: 0.0015 0.4974 0.7470
Tc: 0.0013 0.9973 0.4981

---

TaTcOs2 | GGA-PBE | relaxed

Computed properties:
DFT formation energy: 0.139 eV/atom
Electronic total energy: -0.4054 Ha/atom
Magnetic moment: 0.0 Bohr magnetons per cell
DOS at the Fermi energy: 5.3 states/eV/f.u.
Space group: Pmmm (47)
Energy above the most stable polymorph in this dataset: 239.6 meV per atom

abc: 3.0351 4.5215 4.4908
angles: 90.00 90.00 90.00
Element x y z (fractional)
Os: 0.5000 0.5000 0.0000
Ta: 0.5000 0.0000 0.5000
Tc: 0.0000 0.5000 0.5000
Os: 0.0000 0.0000 0.0000

---

TaTcOs2 | GGA-PBE | relaxed

Computed properties:
DFT formation energy: -0.043 eV/atom
Electronic total energy: -0.4121 Ha/atom
Magnetic moment: 0.0 Bohr magnetons per cell
DOS at the Fermi energy: 3.1 states/eV/f.u.
Space group: Cm (8)
Energy above the most stable polymorph in this dataset: 57.3 meV per atom

abc: 4.8242 4.8242 4.8291
angles: 80.58 80.58 33.70
Element x y z (fractional)
Os: 0.7419 0.7419 0.7671
Os: 0.0021 0.0021 0.9988
Tc: 0.2581 0.2581 0.2316
Ta: 0.4979 0.4979 0.5025

---

TaTcOs2 | GGA-PBE | relaxed

Computed properties:
DFT formation energy: 0.034 eV/atom
Electronic total energy: -0.4092 Ha/atom
Magnetic moment: 0.0 Bohr magnetons per cell
DOS at the Fermi energy: 3.8 states/eV/f.u.
Space group: P4mm (99)
Energy above the most stable polymorph in this dataset: 134.2 meV per atom

abc: 2.7737 2.7737 8.0063
angles: 90.00 90.00 90.00
Element x y z (fractional)
Ta: 0.0000 0.0000 0.4969
Tc: 0.5000 0.5000 0.7680
Os: 0.0000 0.0000 0.0016
Os: 0.5000 0.5000 0.2335

---

Ta3TcOs | GGA-PBE | relaxed

Computed properties:
DFT formation energy: 1.553 eV/atom
Electronic total energy: -0.3630 Ha/atom
Magnetic moment: 0.0 Bohr magnetons per cell
DOS at the Fermi energy: 6.5 states/eV/f.u.
Space group: Pm-3m (221)
Energy above the most stable polymorph in this dataset: 68.4 meV per atom

abc: 4.6935 4.6935 4.6935
angles: 90.00 90.00 90.00
Element x y z (fractional)
Os: 0.5000 0.5000 0.5000
Ta: 0.0000 0.5000 0.0000
Ta: 0.5000 0.0000 0.0000
Ta: 0.0000 0.0000 0.5000
Tc: 0.0000 0.0000 0.0000

---

TaTcOs2 | GGA-PBE | relaxed

Computed properties:
DFT formation energy: -0.066 eV/atom
Electronic total energy: -0.4129 Ha/atom
Magnetic moment: 0.0 Bohr magnetons per cell
DOS at the Fermi energy: 4.9 states/eV/f.u.
Space group: I4/mmm (139)
Energy above the most stable polymorph in this dataset: 34.7 meV per atom

abc: 4.8289 4.8289 4.8289
angles: 131.86 131.86 70.45
Element x y z (fractional)
Tc: 0.7500 0.2500 0.5000
Ta: 0.2500 0.7500 0.5000
Os: 0.5000 0.5000 0.0000
Os: 0.0000 0.0000 0.0000

---

Ta4TcOs3 | GGA-PBE | relaxed

Computed properties:
DFT formation energy: -0.312 eV/atom
Electronic total energy: -0.4316 Ha/atom
Magnetic moment: 0.0 Bohr magnetons per cell
DOS at the Fermi energy: 5.5 states/eV/f.u.
Space group: Pmmm (47)

abc: 3.3422 4.4064 8.8102
angles: 90.00 90.00 90.00
Element x y z (fractional)
Ta: 0.0000 0.5000 0.2501
Os: 0.5000 0.5000 0.5000
Os: 0.5000 0.0000 0.7484
Ta: 0.0000 0.0000 0.5000
Ta: 0.0000 0.0000 0.0000
Tc: 0.5000 0.5000 0.0000
Ta: 0.0000 0.5000 0.7499
Os: 0.5000 0.0000 0.2516

---

TaTcOs | GGA-PBE | relaxed

Computed properties:
DFT formation energy: -0.024 eV/atom
Electronic total energy: -0.4106 Ha/atom
Magnetic moment: 0.0 Bohr magnetons per cell
DOS at the Fermi energy: 2.3 states/eV/f.u.
Space group: I4mm (107)
Energy above the most stable polymorph in this dataset: 59.9 meV per atom

abc: 5.2337 5.2337 5.2337
angles: 144.76 144.76 50.69
Element x y z (fractional)
Os: 0.9932 0.9932 0.0000
Tc: 0.6745 0.6745 0.0000
Ta: 0.3323 0.3323 0.0000

---

TaTcOs2 | GGA-PBE | relaxed

Computed properties:
DFT formation energy: -0.045 eV/atom
Electronic total energy: -0.4121 Ha/atom
Magnetic moment: 0.0 Bohr magnetons per cell
DOS at the Fermi energy: 4.5 states/eV/f.u.
Space group: I-4m2 (119)
Energy above the most stable polymorph in this dataset: 55.7 meV per atom

abc: 4.8620 4.8620 4.8620
angles: 132.51 132.51 69.42
Element x y z (fractional)
Ta: 0.5000 0.5000 0.0000
Os: 0.2500 0.7500 0.5000
Tc: 0.7500 0.2500 0.5000
Os: 0.0000 0.0000 0.0000

---

Ta3TcOs | GGA-PBE | relaxed

Computed properties:
DFT formation energy: 1.485 eV/atom
Electronic total energy: -0.3655 Ha/atom
Magnetic moment: 1.3 Bohr magnetons per cell
DOS at the Fermi energy: 8.0 states/eV/f.u.
Space group: Pm-3m (221)
Energy above the most stable polymorph in this dataset: 0.0 meV per atom

abc: 4.7880 4.7880 4.7880
angles: 90.00 90.00 90.00
Element x y z (fractional)
Ta: 0.5000 0.0000 0.0000
Ta: 0.0000 0.0000 0.5000
Tc: 0.5000 0.5000 0.5000
Ta: 0.0000 0.5000 0.0000
Os: 0.0000 0.0000 0.0000

---

TaTcOs2 | GGA-PBE | relaxed

Computed properties:
DFT formation energy: -0.100 eV/atom
Electronic total energy: -0.4142 Ha/atom
Magnetic moment: 0.0 Bohr magnetons per cell
DOS at the Fermi energy: 4.5 states/eV/f.u.
Space group: P4/mmm (123)
Energy above the most stable polymorph in this dataset: 0.0 meV per atom

abc: 3.9265 3.9446 3.9446
angles: 90.00 90.00 90.00
Element x y z (fractional)
Os: 0.0000 0.0000 0.0000
Os: 0.0000 0.5000 0.5000
Ta: 0.5000 0.5000 0.0000
Tc: 0.5000 0.0000 0.5000

---

Ta6TcOs5 | GGA-PBE | relaxed

Computed properties:
DFT formation energy: -0.319 eV/atom
Electronic total energy: -0.4332 Ha/atom
Magnetic moment: 0.0 Bohr magnetons per cell
DOS at the Fermi energy: 7.4 states/eV/f.u.
Space group: P2/m (10)

abc: 4.5690 6.1992 7.0946
angles: 90.00 104.08 90.00
Element x y z (fractional)
Ta: 0.8597 0.2496 0.6592
Os: 0.3746 0.0000 0.6814
Ta: 0.1403 0.2496 0.3408
Os: 0.6254 0.0000 0.3186
Ta: 0.8597 0.7504 0.6592
Os: 0.3753 0.5000 0.6823
Os: 0.6247 0.5000 0.3177
Tc: 0.0000 0.0000 0.0000
Os: 0.0000 0.5000 0.0000
Ta: 0.1403 0.7504 0.3408
Ta: 0.5000 0.2486 0.0000
Ta: 0.5000 0.7514 0.0000

---

TaTl2TcOs | GGA-PBE | relaxed

Computed properties:
DFT formation energy: 1.872 eV/atom
Electronic total energy: -0.2118 Ha/atom
Magnetic moment: 0.0 Bohr magnetons per cell
DOS at the Fermi energy: 8.5 states/eV/f.u.
Space group: P4/mmm (123)

abc: 5.1167 4.6700 5.1167
angles: 90.00 90.00 90.00
Element x y z (fractional)
Tl: 0.5000 0.0000 0.0000
Tl: 0.0000 0.0000 0.5000
Ta: 0.5000 0.5000 0.5000
Tc: 0.0000 0.5000 0.0000
Os: 0.0000 0.0000 0.0000

---

Ta2TcOsW | GGA-PBE | relaxed

Computed properties:
DFT formation energy: 2.004 eV/atom
Electronic total energy: -0.3545 Ha/atom
Magnetic moment: 0.0 Bohr magnetons per cell
DOS at the Fermi energy: 5.7 states/eV/f.u.
Space group: P4/mmm (123)

abc: 4.7743 4.5517 4.7743
angles: 90.00 90.00 90.00
Element x y z (fractional)
W: 0.0000 0.0000 0.0000
Ta: 0.0000 0.0000 0.5000
Tc: 0.0000 0.5000 0.0000
Ta: 0.5000 0.0000 0.0000
Os: 0.5000 0.5000 0.5000

---

TaTcOsW2 | GGA-PBE | relaxed

Computed properties:
DFT formation energy: 2.457 eV/atom
Electronic total energy: -0.3459 Ha/atom
Magnetic moment: 1.6 Bohr magnetons per cell
DOS at the Fermi energy: 3.9 states/eV/f.u.
Space group: P4/mmm (123)

abc: 4.7218 4.6642 4.7218
angles: 90.00 90.00 90.00
Element x y z (fractional)
W: 0.5000 0.0000 0.0000
Os: 0.0000 0.5000 0.0000
Ta: 0.0000 0.0000 0.0000
W: 0.0000 0.0000 0.5000
Tc: 0.5000 0.5000 0.5000

---

YTa2TcOs | GGA-PBE | relaxed

Computed properties:
DFT formation energy: 0.875 eV/atom
Electronic total energy: -0.3483 Ha/atom
Magnetic moment: 0.5 Bohr magnetons per cell
DOS at the Fermi energy: 6.8 states/eV/f.u.
Space group: P4/mmm (123)

abc: 4.8673 4.8297 4.8673
angles: 90.00 90.00 90.00
Element x y z (fractional)
Ta: 0.0000 0.0000 0.5000
Y: 0.5000 0.5000 0.5000
Os: 0.0000 0.0000 0.0000
Ta: 0.5000 0.0000 0.0000
Tc: 0.0000 0.5000 0.0000

---

TaTeOs2 | GGA-PBE | relaxed

Computed properties:
Electronic total energy: -0.3301 Ha/atom
ΔE_f (raw): 382.3 meV/atom
Magnetic moment: 0.0 Bohr magnetons per cell
DOS at the Fermi energy: 3.0 states/eV/f.u.
Space group: R-3m (166)

abc: 8.6936 8.6936 8.6936
angles: 20.68 20.68 20.68
Element x y z (fractional)
Ta: 0.2500 0.2500 0.2500
Os: 0.9936 0.9936 0.9936
Te: 0.7500 0.7500 0.7500
Os: 0.5064 0.5064 0.5064

---

TaTeOs2 | GGA-PBE | relaxed

Computed properties:
Electronic total energy: -0.3297 Ha/atom
ΔE_f (raw): 392.3 meV/atom
Magnetic moment: 0.0 Bohr magnetons per cell
DOS at the Fermi energy: 3.5 states/eV/f.u.
Space group: Cm (8)

abc: 5.0958 5.0958 4.7220
angles: 83.71 83.71 34.84
Element x y z (fractional)
Os: 0.9781 0.9781 0.0423
Ta: 0.5172 0.5172 0.4801
Te: 0.7558 0.7558 0.7505
Os: 0.2489 0.2489 0.2271

---

TaTeOs2 | GGA-PBE | relaxed

Computed properties:
Electronic total energy: -0.3339 Ha/atom
ΔE_f (raw): 278.8 meV/atom
Magnetic moment: 0.0 Bohr magnetons per cell
DOS at the Fermi energy: 2.7 states/eV/f.u.
Space group: P4/mmm (123)

abc: 3.1433 3.1434 7.1590
angles: 90.00 90.00 90.00
Element x y z (fractional)
Os: 0.0000 0.0000 0.4690
Ta: 0.5000 0.5000 0.2500
Os: 0.0000 0.0000 0.0310
Te: 0.5000 0.5000 0.7500